Here is a crystal of CrRu2Cl relaxed with PBEsol from Alexandria via LeMat-Bulk. Energies are from SCAN.

Computed properties:
uncorrected formation energy	0.534	eV per atom
energy	-23.47	eV per atom
polymorph energy (0 for the lowest one)	0.1517	eV per atom

a b c (Å): 2.777 3.880 5.010
angles (deg): 90.00 104.46 90.00
Space group P2/m (No. 10)
Asymmetric unit:
Cr 0.000 0.000 0.000 x1
Ru 0.361 0.500 0.743 x2
Cl 0.000 0.000 0.500 x1